Record 1
Density functional theory data (PBE) for an optimized crystal structure of AcNdErPu.

- Energy relative to the elements: 0.2693 eV per atom
- Total moment: 1.79 μB/atom
- Symmetry: F-43m, No. 216

Unit cell a=5.820 b=5.820 c=5.820 alpha=60.00 beta=60.00 gamma=60.00
Sites, in units of the cell vectors:
Ac 0.000 0.000 0.000
Nd 0.250 0.250 0.250
Er 0.750 0.750 0.750
Pu 0.500 0.500 0.500

---

Record 2
Density functional theory data (PBE) for an optimized crystal structure of AcNdEr2S4.

- Uncorrected formation energy: -1.975 eV/atom
- Total moment: 0.00 μB/atom
- Symmetry: P2/m, No. 10

Unit cell a=6.854 b=3.939 c=7.225 alpha=90.00 beta=108.33 gamma=90.00
Sites, in units of the cell vectors:
Ac 0.000 0.000 0.000
Nd 0.500 0.500 0.000
Er 0.000 0.500 0.500
Er 0.500 0.000 0.500
S 0.246 0.000 0.724
S 0.266 0.500 0.281
S 0.734 0.500 0.719
S 0.754 0.000 0.276

---

Record 3
Density functional theory data (PBE) for an optimized crystal structure of Ac3Nd3ErS8.

- Uncorrected formation energy: -2.042 eV/atom
- Total moment: 0.00 μB/atom
- Symmetry: R-3m, No. 166

Unit cell a=8.400 b=8.400 c=8.400 alpha=58.74 beta=58.74 gamma=58.74
Sites, in units of the cell vectors:
Ac 0.000 0.500 0.500
Ac 0.500 0.000 0.500
Ac 0.500 0.500 0.000
Nd 0.000 0.000 0.500
Nd 0.000 0.500 0.000
Nd 0.500 0.000 0.000
Er 0.500 0.500 0.500
S 0.245 0.245 0.245
S 0.255 0.736 0.736
S 0.264 0.264 0.745
S 0.264 0.745 0.264
S 0.736 0.255 0.736
S 0.736 0.736 0.255
S 0.745 0.264 0.264
S 0.755 0.755 0.755

---

Record 4
Density functional theory data (PBE) for an optimized crystal structure of Ac2NdErS6.

- Uncorrected formation energy: -2.091 eV/atom
- Total moment: 0.00 μB/atom
- Symmetry: R3, No. 146

Unit cell a=7.553 b=7.553 c=7.553 alpha=57.96 beta=57.96 gamma=57.96
Sites, in units of the cell vectors:
Ac 0.000 0.000 0.000
Ac 0.498 0.498 0.498
Nd 0.214 0.214 0.214
Er 0.711 0.711 0.711
S 0.070 0.431 0.840
S 0.347 0.918 0.583
S 0.431 0.840 0.070
S 0.583 0.347 0.918
S 0.840 0.070 0.431
S 0.918 0.583 0.347

---

Record 5
Density functional theory data (PBE) for an optimized crystal structure of Ac2NdErS4.

- Uncorrected formation energy: -1.981 eV/atom
- Total moment: 0.00 μB/atom
- Symmetry: P2/m, No. 10

Unit cell a=7.085 b=4.053 c=7.354 alpha=90.00 beta=108.42 gamma=90.00
Sites, in units of the cell vectors:
Ac 0.000 0.000 0.000
Ac 0.500 0.500 0.000
Nd 0.000 0.500 0.500
Er 0.500 0.000 0.500
S 0.252 0.000 0.727
S 0.270 0.500 0.280
S 0.730 0.500 0.720
S 0.748 0.000 0.273

---

Record 6
Density functional theory data (PBE) for an optimized crystal structure of AcNd2ErS6.

- Uncorrected formation energy: -2.042 eV/atom
- Total moment: 0.00 μB/atom
- Symmetry: R3, No. 146

Unit cell a=7.569 b=7.569 c=7.569 alpha=56.87 beta=56.87 gamma=56.87
Sites, in units of the cell vectors:
Ac 0.000 0.000 0.000
Nd 0.283 0.283 0.283
Nd 0.790 0.790 0.790
Er 0.489 0.489 0.489
S 0.097 0.663 0.413
S 0.203 0.590 0.874
S 0.413 0.097 0.663
S 0.590 0.874 0.203
S 0.663 0.413 0.097
S 0.874 0.203 0.590

---

Record 7
Density functional theory data (PBE) for an optimized crystal structure of AcNdEr2Sb4.

- Uncorrected formation energy: -1.124 eV/atom
- Total moment: 0.00 μB/atom
- Symmetry: P2/m, No. 10

Unit cell a=7.800 b=4.516 c=7.823 alpha=90.00 beta=109.49 gamma=90.00
Sites, in units of the cell vectors:
Ac 0.000 0.000 0.000
Nd 0.000 0.500 0.500
Er 0.500 0.000 0.500
Er 0.500 0.500 0.000
Sb 0.266 0.000 0.749
Sb 0.271 0.500 0.263
Sb 0.729 0.500 0.737
Sb 0.734 0.000 0.251

---

Record 8
Density functional theory data (PBE) for an optimized crystal structure of AcNdErSc.

- Energy relative to the elements: 0.1064 eV per atom
- Total moment: 0.00 μB/atom
- Symmetry: F-43m, No. 216

Unit cell a=5.743 b=5.743 c=5.743 alpha=60.00 beta=60.00 gamma=60.00
Sites, in units of the cell vectors:
Ac 0.000 0.000 0.000
Nd 0.500 0.500 0.500
Er 0.750 0.750 0.750
Sc 0.250 0.250 0.250

---

Record 9
Density functional theory data (PBE) for an optimized crystal structure of AcNd2ErSe6.

- Uncorrected formation energy: -1.863 eV/atom
- Total moment: 0.00 μB/atom
- Symmetry: R3, No. 146

Unit cell a=7.921 b=7.921 c=7.921 alpha=56.58 beta=56.58 gamma=56.58
Sites, in units of the cell vectors:
Ac 0.000 0.000 0.000
Nd 0.287 0.287 0.287
Nd 0.795 0.795 0.795
Er 0.489 0.489 0.489
Se 0.095 0.668 0.416
Se 0.209 0.590 0.876
Se 0.416 0.095 0.668
Se 0.590 0.876 0.209
Se 0.668 0.416 0.095
Se 0.876 0.209 0.590

---

Record 10
Density functional theory data (PBE) for an optimized crystal structure of Ac2Nd3ErSe6.

- Uncorrected formation energy: -1.804 eV/atom
- Total moment: 0.00 μB/atom
- Symmetry: C2/m, No. 12

Unit cell a=7.433 b=7.433 c=7.397 alpha=99.70 beta=99.70 gamma=120.13
Sites, in units of the cell vectors:
Ac 0.165 0.835 0.000
Ac 0.835 0.165 0.000
Nd 0.000 0.000 0.500
Nd 0.324 0.676 0.500
Nd 0.676 0.324 0.500
Er 0.500 0.500 0.000
Se 0.103 0.418 0.750
Se 0.273 0.273 0.259
Se 0.418 0.103 0.750
Se 0.582 0.897 0.250
Se 0.727 0.727 0.741
Se 0.897 0.582 0.250

---

Record 11
Density functional theory data (PBE) for an optimized crystal structure of AcNd2ErSe4.

- Uncorrected formation energy: -1.781 eV/atom
- Total moment: 0.00 μB/atom
- Symmetry: P2/m, No. 10

Unit cell a=7.278 b=4.170 c=7.546 alpha=90.00 beta=108.49 gamma=90.00
Sites, in units of the cell vectors:
Ac 0.000 0.000 0.000
Nd 0.500 0.000 0.500
Nd 0.500 0.500 0.000
Er 0.000 0.500 0.500
Se 0.241 0.000 0.731
Se 0.253 0.500 0.267
Se 0.747 0.500 0.733
Se 0.759 0.000 0.269

---

Record 12
Density functional theory data (PBE) for an optimized crystal structure of AcNd2ErSe5.

- Uncorrected formation energy: -1.384 eV/atom
- Total moment: 0.00 μB/atom
- Symmetry: P4/mmm, No. 123

Unit cell a=5.134 b=5.134 c=11.364 alpha=90.00 beta=90.00 gamma=90.00
Sites, in units of the cell vectors:
Ac 0.000 0.000 0.000
Nd 0.500 0.500 0.343
Nd 0.500 0.500 0.657
Er 0.000 0.000 0.500
Se 0.000 0.000 0.258
Se 0.000 0.000 0.742
Se 0.000 0.500 0.500
Se 0.500 0.000 0.500
Se 0.500 0.500 0.000